# 1
TbPu3Al8 | PBE-GGA | optimized geometry

As for the relative energy among the computed polymorphs: 2.1 meV/atom. The formation energy from the elements is -0.37 eV/atom.

abc: 9.550 9.550 9.550
angles: 33.72 33.72 33.72
Fractional coordinates of all 12 atoms:
Tb1 0.000 0.000 0.000
Pu1 0.379 0.379 0.379
Pu2 0.500 0.500 0.500
Pu3 0.873 0.873 0.873
Al1 0.188 0.188 0.188
Al2 0.437 0.437 0.939
Al3 0.437 0.939 0.437
Al4 0.438 0.938 0.938
Al5 0.688 0.688 0.688
Al6 0.938 0.438 0.938
Al7 0.938 0.938 0.438
Al8 0.939 0.437 0.437

# 2
TbPuAl | PBE-GGA | optimized geometry

As for the relative energy among the computed polymorphs: 41.7 meV/atom. The formation energy from the elements is -0.04 eV/atom.

abc: 5.129 5.129 3.246
angles: 90.00 90.00 120.00
Fractional coordinates of all 3 atoms:
Tb1 0.000 0.000 0.000
Pu1 0.333 0.667 0.607
Al1 0.667 0.333 0.301

# 3
TbPuAl6 | PBE-GGA | optimized geometry

The formation energy from the elements is -0.31 eV/atom.

abc: 4.458 5.991 5.954
angles: 90.00 90.00 90.00
Fractional coordinates of all 8 atoms:
Tb1 0.000 0.000 0.000
Pu1 0.500 0.500 0.772
Al1 0.000 0.250 0.529
Al2 0.000 0.500 0.123
Al3 0.000 0.750 0.529
Al4 0.500 0.000 0.639
Al5 0.500 0.261 0.251
Al6 0.500 0.739 0.251

# 4
TbPuAlTc | PBE-GGA | optimized geometry

The formation energy from the elements is -0.01 eV/atom.

abc: 6.994 6.994 6.994
angles: 90.00 90.00 90.00
Fractional coordinates of all 16 atoms:
Tb1 0.000 0.000 0.000
Tb2 0.000 0.500 0.500
Tb3 0.500 0.000 0.500
Tb4 0.500 0.500 0.000
Pu1 0.000 0.000 0.500
Pu2 0.000 0.500 0.000
Pu3 0.500 0.000 0.000
Pu4 0.500 0.500 0.500
Al1 0.250 0.250 0.750
Al2 0.250 0.750 0.250
Al3 0.750 0.250 0.250
Al4 0.750 0.750 0.750
Tc1 0.250 0.250 0.250
Tc2 0.250 0.750 0.750
Tc3 0.750 0.250 0.750
Tc4 0.750 0.750 0.250

# 5
TbPuAlTl | PBE-GGA | optimized geometry

The formation energy from the elements is -0.15 eV/atom.

abc: 7.460 7.460 7.460
angles: 90.00 90.00 90.00
Fractional coordinates of all 16 atoms:
Tb1 0.000 0.000 0.000
Tb2 0.000 0.500 0.500
Tb3 0.500 0.000 0.500
Tb4 0.500 0.500 0.000
Pu1 0.000 0.000 0.500
Pu2 0.000 0.500 0.000
Pu3 0.500 0.000 0.000
Pu4 0.500 0.500 0.500
Al1 0.250 0.250 0.250
Al2 0.250 0.750 0.750
Al3 0.750 0.250 0.750
Al4 0.750 0.750 0.250
Tl1 0.250 0.250 0.750
Tl2 0.250 0.750 0.250
Tl3 0.750 0.250 0.250
Tl4 0.750 0.750 0.750

# 6
PuAl2Tc | PBE-GGA | optimized geometry

As for the relative energy among the computed polymorphs: 0.0 meV/atom. The formation energy from the elements is -0.26 eV/atom.

abc: 3.114 3.114 7.367
angles: 90.00 90.00 90.00
Fractional coordinates of all 4 atoms:
Pu1 0.000 0.000 0.000
Al1 0.500 0.500 0.312
Al2 0.500 0.500 0.688
Tc1 0.000 0.000 0.500

# 7
PuAlTc | PBE-GGA | optimized geometry

As for the relative energy among the computed polymorphs: 139.3 meV/atom. The formation energy from the elements is 0.01 eV/atom.

abc: 4.603 4.603 2.963
angles: 90.00 90.00 120.00
Fractional coordinates of all 3 atoms:
Pu1 0.000 0.000 0.000
Al1 0.333 0.667 0.478
Tc1 0.667 0.333 0.687

# 8
PuAlTc2 | PBE-GGA | optimized geometry

As for the relative energy among the computed polymorphs: 29.7 meV/atom. The formation energy from the elements is -0.18 eV/atom.

abc: 4.435 4.435 3.351
angles: 90.00 90.00 90.00
Fractional coordinates of all 4 atoms:
Pu1 0.000 0.000 0.000
Al1 0.500 0.500 0.000
Tc1 0.000 0.500 0.500
Tc2 0.500 0.000 0.500

# 9
PuAlTc | PBE-GGA | optimized geometry

As for the relative energy among the computed polymorphs: 0.0 meV/atom. The formation energy from the elements is -0.13 eV/atom.

abc: 3.153 3.153 11.201
angles: 90.00 90.00 90.00
Fractional coordinates of all 6 atoms:
Pu1 0.000 0.000 0.000
Pu2 0.500 0.500 0.500
Al1 0.000 0.000 0.287
Al2 0.500 0.500 0.787
Tc1 0.000 0.000 0.664
Tc2 0.500 0.500 0.164

# 10
Pu2Al3Tc | PBE-GGA | optimized geometry

The formation energy from the elements is -0.29 eV/atom.

abc: 5.445 5.445 5.445
angles: 59.83 59.83 59.83
Fractional coordinates of all 6 atoms:
Pu1 0.127 0.127 0.127
Pu2 0.873 0.873 0.873
Al1 0.000 0.500 0.500
Al2 0.500 0.000 0.500
Al3 0.500 0.500 0.000
Tc1 0.500 0.500 0.500

# 11
PuAlTc2 | PBE-GGA | optimized geometry

As for the relative energy among the computed polymorphs: 100.0 meV/atom. The formation energy from the elements is -0.11 eV/atom.

abc: 3.261 3.261 6.184
angles: 90.00 90.00 90.00
Fractional coordinates of all 4 atoms:
Pu1 0.000 0.000 0.000
Al1 0.000 0.000 0.500
Tc1 0.500 0.500 0.262
Tc2 0.500 0.500 0.738

# 12
PuAlTc | PBE-GGA | optimized geometry

As for the relative energy among the computed polymorphs: 94.1 meV/atom. The formation energy from the elements is -0.03 eV/atom.

abc: 9.846 4.205 5.993
angles: 90.00 127.47 90.00
Fractional coordinates of all 12 atoms:
Pu1 0.192 0.000 0.012
Pu2 0.308 0.500 0.988
Pu3 0.692 0.500 0.012
Pu4 0.808 0.000 0.988
Al1 0.162 0.000 0.489
Al2 0.338 0.500 0.511
Al3 0.662 0.500 0.489
Al4 0.838 0.000 0.511
Tc1 0.000 0.500 0.000
Tc2 0.000 0.500 0.500
Tc3 0.500 0.000 0.000
Tc4 0.500 0.000 0.500

# 13
PuAl2Tc | PBE-GGA | optimized geometry

As for the relative energy among the computed polymorphs: 174.4 meV/atom. The formation energy from the elements is -0.08 eV/atom.

abc: 2.894 2.894 28.588
angles: 90.00 90.00 120.00
Fractional coordinates of all 12 atoms:
Pu1 0.000 0.000 0.000
Pu2 0.333 0.667 0.667
Pu3 0.667 0.333 0.333
Al1 0.000 0.000 0.238
Al2 0.000 0.000 0.762
Al3 0.333 0.667 0.429
Al4 0.333 0.667 0.905
Al5 0.667 0.333 0.095
Al6 0.667 0.333 0.571
Tc1 0.000 0.000 0.500
Tc2 0.333 0.667 0.167
Tc3 0.667 0.333 0.833

# 14
PuAlTc2 | PBE-GGA | optimized geometry

As for the relative energy among the computed polymorphs: 0.0 meV/atom. The formation energy from the elements is -0.21 eV/atom.

abc: 6.407 6.407 6.407
angles: 90.00 90.00 90.00
Fractional coordinates of all 16 atoms:
Pu1 0.000 0.000 0.000
Pu2 0.000 0.500 0.500
Pu3 0.500 0.000 0.500
Pu4 0.500 0.500 0.000
Al1 0.000 0.000 0.500
Al2 0.000 0.500 0.000
Al3 0.500 0.000 0.000
Al4 0.500 0.500 0.500
Tc1 0.250 0.250 0.250
Tc2 0.250 0.250 0.750
Tc3 0.250 0.750 0.250
Tc4 0.250 0.750 0.750
Tc5 0.750 0.250 0.250
Tc6 0.750 0.250 0.750
Tc7 0.750 0.750 0.250
Tc8 0.750 0.750 0.750

# 15
PuAlTc | PBE-GGA | optimized geometry

As for the relative energy among the computed polymorphs: 16.9 meV/atom. The formation energy from the elements is -0.11 eV/atom.

abc: 3.906 3.906 14.980
angles: 90.00 90.00 90.00
Fractional coordinates of all 12 atoms:
Pu1 0.000 0.000 0.170
Pu2 0.000 0.000 0.830
Pu3 0.500 0.500 0.330
Pu4 0.500 0.500 0.670
Al1 0.000 0.500 0.000
Al2 0.000 0.500 0.500
Al3 0.500 0.000 0.000
Al4 0.500 0.000 0.500
Tc1 0.000 0.000 0.382
Tc2 0.000 0.000 0.618
Tc3 0.500 0.500 0.118
Tc4 0.500 0.500 0.882

# 16
TmPuAlTc | PBE-GGA | optimized geometry

The formation energy from the elements is -0.06 eV/atom.

abc: 6.928 6.928 6.928
angles: 90.00 90.00 90.00
Fractional coordinates of all 16 atoms:
Tm1 0.000 0.000 0.000
Tm2 0.000 0.500 0.500
Tm3 0.500 0.000 0.500
Tm4 0.500 0.500 0.000
Pu1 0.000 0.000 0.500
Pu2 0.000 0.500 0.000
Pu3 0.500 0.000 0.000
Pu4 0.500 0.500 0.500
Al1 0.250 0.250 0.750
Al2 0.250 0.750 0.250
Al3 0.750 0.250 0.250
Al4 0.750 0.750 0.750
Tc1 0.250 0.250 0.250
Tc2 0.250 0.750 0.750
Tc3 0.750 0.250 0.750
Tc4 0.750 0.750 0.250

# 17
PuAlVTc | PBE-GGA | optimized geometry

The formation energy from the elements is -0.11 eV/atom.

abc: 6.391 6.391 6.391
angles: 90.00 90.00 90.00
Fractional coordinates of all 16 atoms:
Pu1 0.000 0.000 0.000
Pu2 0.000 0.500 0.500
Pu3 0.500 0.000 0.500
Pu4 0.500 0.500 0.000
Al1 0.000 0.000 0.500
Al2 0.000 0.500 0.000
Al3 0.500 0.000 0.000
Al4 0.500 0.500 0.500
V1 0.250 0.250 0.250
V2 0.250 0.750 0.750
V3 0.750 0.250 0.750
V4 0.750 0.750 0.250
Tc1 0.250 0.250 0.750
Tc2 0.250 0.750 0.250
Tc3 0.750 0.250 0.250
Tc4 0.750 0.750 0.750

# 18
PuAlZnTc | PBE-GGA | optimized geometry

The formation energy from the elements is 0.04 eV/atom.

abc: 6.552 6.552 6.552
angles: 90.00 90.00 90.00
Fractional coordinates of all 16 atoms:
Pu1 0.000 0.000 0.000
Pu2 0.000 0.500 0.500
Pu3 0.500 0.000 0.500
Pu4 0.500 0.500 0.000
Al1 0.000 0.000 0.500
Al2 0.000 0.500 0.000
Al3 0.500 0.000 0.000
Al4 0.500 0.500 0.500
Zn1 0.250 0.250 0.750
Zn2 0.250 0.750 0.250
Zn3 0.750 0.250 0.250
Zn4 0.750 0.750 0.750
Tc1 0.250 0.250 0.250
Tc2 0.250 0.750 0.750
Tc3 0.750 0.250 0.750
Tc4 0.750 0.750 0.250

# 19
PuAlTe | PBE-GGA | optimized geometry

Its formation energy without anion corrections is -53 kJ per mole of atoms.

abc: 3.937 17.597 4.498
angles: 90.00 90.00 90.00
Fractional coordinates of all 12 atoms:
Pu1 0.000 0.112 0.250
Pu2 0.000 0.888 0.750
Pu3 0.500 0.388 0.750
Pu4 0.500 0.612 0.250
Al1 0.000 0.469 0.250
Al2 0.000 0.531 0.750
Al3 0.500 0.031 0.750
Al4 0.500 0.969 0.250
Te1 0.000 0.318 0.250
Te2 0.000 0.682 0.750
Te3 0.500 0.182 0.750
Te4 0.500 0.818 0.250

# 20
Pu3AlTe6 | PBE-GGA | optimized geometry

Its formation energy without anion corrections is -80 kJ per mole of atoms.

abc: 9.642 9.642 7.304
angles: 90.00 90.00 101.68
Fractional coordinates of all 20 atoms:
Pu1 0.099 0.901 0.500
Pu2 0.224 0.418 0.404
Pu3 0.418 0.224 0.904
Pu4 0.582 0.776 0.404
Pu5 0.776 0.582 0.904
Pu6 0.901 0.099 0.000
Al1 0.296 0.704 0.854
Al2 0.704 0.296 0.354
Te1 0.059 0.594 0.680
Te2 0.128 0.197 0.703
Te3 0.197 0.128 0.203
Te4 0.278 0.722 0.215
Te5 0.406 0.941 0.680
Te6 0.461 0.539 0.715
Te7 0.539 0.461 0.215
Te8 0.594 0.059 0.180
Te9 0.722 0.278 0.715
Te10 0.803 0.872 0.703
Te11 0.872 0.803 0.203
Te12 0.941 0.406 0.180